No. 1
Computed, not measured: crystalline Li4Tb3US8 at its relaxed geometry at the PBE level of DFT.

Raw formation energy   -1.706 eV per atom

Unit cell a=7.672 b=7.672 c=7.672 alpha=61.54 beta=61.54 gamma=61.54
Element x y z (fractional)
1 Li 0.000 0.000 0.000
2 Li 0.000 0.500 0.500
3 Li 0.500 0.000 0.500
4 Li 0.500 0.500 0.000
5 Tb 0.000 0.000 0.500
6 Tb 0.000 0.500 0.000
7 Tb 0.500 0.000 0.000
8 U 0.500 0.500 0.500
9 S 0.250 0.250 0.748
10 S 0.250 0.748 0.250
11 S 0.251 0.251 0.251
12 S 0.252 0.750 0.750
13 S 0.748 0.250 0.250
14 S 0.749 0.749 0.749
15 S 0.750 0.252 0.750
16 S 0.750 0.750 0.252

***

No. 2
Computed, not measured: crystalline Li3Tb2US6 at its relaxed geometry at the PBE level of DFT.

Raw formation energy   -1.655 eV per atom

Unit cell a=6.796 b=6.796 c=6.590 alpha=99.90 beta=99.90 gamma=119.98
Element x y z (fractional)
1 Li 0.000 0.000 0.000
2 Li 0.332 0.668 0.000
3 Li 0.668 0.332 0.000
4 Tb 0.167 0.833 0.500
5 Tb 0.833 0.167 0.500
6 U 0.500 0.500 0.500
7 S 0.083 0.415 0.246
8 S 0.253 0.253 0.753
9 S 0.415 0.083 0.246
10 S 0.585 0.917 0.754
11 S 0.747 0.747 0.247
12 S 0.917 0.585 0.754

***

No. 3
Computed, not measured: crystalline LiTbU2S6 at its relaxed geometry at the PBE level of DFT.

Raw formation energy   -1.150 eV per atom

Unit cell a=6.176 b=6.176 c=6.640 alpha=90.00 beta=90.00 gamma=90.00
Element x y z (fractional)
1 Li 0.000 0.000 0.000
2 Tb 0.500 0.500 0.026
3 U 0.000 0.500 0.449
4 U 0.500 0.000 0.449
5 S 0.000 0.000 0.635
6 S 0.240 0.240 0.214
7 S 0.240 0.760 0.214
8 S 0.500 0.500 0.624
9 S 0.760 0.240 0.214
10 S 0.760 0.760 0.214

***

No. 4
Computed, not measured: crystalline Li3TbU2S6 at its relaxed geometry at the PBE level of DFT.

Raw formation energy   -1.506 eV per atom

Unit cell a=6.739 b=6.739 c=6.628 alpha=99.76 beta=99.76 gamma=120.01
Element x y z (fractional)
1 Li 0.000 0.000 0.000
2 Li 0.335 0.665 0.000
3 Li 0.665 0.335 0.000
4 Tb 0.500 0.500 0.500
5 U 0.167 0.833 0.500
6 U 0.833 0.167 0.500
7 S 0.080 0.415 0.245
8 S 0.250 0.250 0.756
9 S 0.415 0.080 0.245
10 S 0.585 0.920 0.755
11 S 0.750 0.750 0.244
12 S 0.920 0.585 0.755

***

No. 5
Computed, not measured: crystalline LiTbU2S4 at its relaxed geometry at the PBE level of DFT.

Raw formation energy   -1.529 eV per atom

Unit cell a=6.585 b=3.809 c=6.907 alpha=90.00 beta=108.61 gamma=90.00
Element x y z (fractional)
1 Li 0.000 0.000 0.000
2 Tb 0.500 0.500 0.000
3 U 0.000 0.500 0.500
4 U 0.500 0.000 0.500
5 S 0.240 0.500 0.240
6 S 0.244 0.000 0.757
7 S 0.756 0.000 0.243
8 S 0.760 0.500 0.760

***

No. 6
Computed, not measured: crystalline LiTb2US4 at its relaxed geometry at the PBE level of DFT.

Raw formation energy   -1.728 eV per atom

Unit cell a=6.737 b=3.873 c=6.762 alpha=90.00 beta=109.24 gamma=90.00
Element x y z (fractional)
1 Li 0.000 0.000 0.000
2 Tb 0.500 0.000 0.500
3 Tb 0.500 0.500 0.000
4 U 0.000 0.500 0.500
5 S 0.243 0.500 0.244
6 S 0.245 0.000 0.754
7 S 0.755 0.000 0.246
8 S 0.757 0.500 0.756

***

No. 7
Computed, not measured: crystalline Li3Tb3VS8 at its relaxed geometry at the PBE level of DFT.

Raw formation energy   -1.581 eV per atom

Unit cell a=7.576 b=7.576 c=7.576 alpha=60.93 beta=60.93 gamma=60.93
Element x y z (fractional)
1 Li 0.000 0.500 0.500
2 Li 0.500 0.000 0.500
3 Li 0.500 0.500 0.000
4 Tb 0.000 0.000 0.500
5 Tb 0.000 0.500 0.000
6 Tb 0.500 0.000 0.000
7 V 0.500 0.500 0.500
8 S 0.252 0.252 0.252
9 S 0.272 0.272 0.721
10 S 0.272 0.721 0.272
11 S 0.279 0.728 0.728
12 S 0.721 0.272 0.272
13 S 0.728 0.279 0.728
14 S 0.728 0.728 0.279
15 S 0.748 0.748 0.748

***

No. 8
Computed, not measured: crystalline LiTb2YS5 at its relaxed geometry at the PBE level of DFT.

Raw formation energy   -1.886 eV per atom

Unit cell a=8.349 b=8.349 c=11.794 alpha=90.00 beta=90.00 gamma=152.96
Element x y z (fractional)
1 Li 0.013 0.987 0.500
2 Li 0.987 0.013 0.000
3 Tb 0.377 0.623 0.312
4 Tb 0.392 0.608 0.702
5 Tb 0.608 0.392 0.202
6 Tb 0.623 0.377 0.812
7 Y 0.303 0.697 0.019
8 Y 0.697 0.303 0.519
9 S 0.000 0.000 0.302
10 S 0.000 0.000 0.802
11 S 0.137 0.863 0.018
12 S 0.192 0.808 0.358
13 S 0.213 0.787 0.682
14 S 0.455 0.545 0.093
15 S 0.545 0.455 0.593
16 S 0.787 0.213 0.182
17 S 0.808 0.192 0.858
18 S 0.863 0.137 0.518

***

Which value of raw formation energy does entry 6 give?
-1.728 eV per atom

***

Look up the raw formation energy of the fourth one.
-1.506 eV per atom

***

The lowest raw formation energy belongs to which entry?
LiTb2YS5

***

raw formation energy of number 5 (LiTbU2S4)?
-1.529 eV per atom